The following is a DFT calculation (GGA+U) of a geometry-optimized CrBi2HO6 structure. Values from VASP.

The density is 7.30 Mg/m³. Its total energy is -5.987 eV per atom. The density of states at the Fermi level is 0.250 states/eV per atom. The space group is No. 14. The volume comes out at 12.89 Å³/atom.

Cell and atoms, written as Quantum ESPRESSO input:
```
&SYSTEM
  ibrav = 0, nat = 20, ntyp = 4
/
ATOMIC_SPECIES
O 16.00 O.upf
Bi 208.98 Bi.upf
Cr 52.00 Cr.upf
H 1.01 H.upf
CELL_PARAMETERS angstrom
-5.086 3.311 -0.057
-1.421 -2.047 7.809
1.661 4.809 1.563
ATOMIC_POSITIONS crystal
O 0.597 0.080 0.132
O 0.403 0.920 0.868
O 0.080 0.293 0.089
O 0.903 0.580 0.368
O 0.288 0.584 0.040
O 0.580 0.207 0.589
O 0.788 0.916 0.540
O 0.212 0.084 0.460
O 0.712 0.416 0.960
O 0.420 0.793 0.411
O 0.920 0.707 0.911
O 0.097 0.420 0.632
Bi 0.117 0.822 0.232
Bi 0.617 0.678 0.732
Bi 0.883 0.178 0.768
Bi 0.383 0.322 0.268
Cr 0.500 0.000 0.500
Cr 0.000 0.500 0.000
H 0.000 0.500 0.500
H 0.500 0.000 0.000
```